Crystalline YHoAgPt at its relaxed geometry, computed with GGA-PBE.

Properties
Density of states at the Fermi level, states/eV/f.u.: 2.9
Size of the total moment, μB per cell: 0.000
Uncorrected energy, eV/atom: -5.774
Space group: F-43m, No. 216

CIF file:
```
data_YHoAgPt
_cell_length_a 5.0169
_cell_length_b 5.0169
_cell_length_c 5.0169
_cell_angle_alpha 60.00
_cell_angle_beta 60.00
_cell_angle_gamma 60.00
_symmetry_space_group_name_H-M 'P 1'
_symmetry_Int_Tables_number 1
loop_
_symmetry_equiv_pos_as_xyz
'x,y,z'
loop_
_atom_site_label
_atom_site_fract_x
_atom_site_fract_y
_atom_site_fract_z
_atom_site_occupancy
Y1 0.5000 0.5000 0.5000 1
Ag1 0.2500 0.2500 0.2500 1
Ho1 0.0000 0.0000 0.0000 1
Pt1 0.7500 0.7500 0.7500 1
```

Crystalline ScTePb2 at its relaxed geometry, computed with GGA-PBE.

Properties
Density of states at the Fermi level, states/eV/f.u.: 3.7
Size of the total moment, μB per cell: 0.000
Uncorrected energy, eV/atom: -4.443
Space group: I-42d, No. 122
Energy relative to the elements, uncorrected, eV/atom: -0.22

CIF file:
```
data_ScTePb2
_cell_length_a 4.3625
_cell_length_b 4.3625
_cell_length_c 12.8025
_cell_angle_alpha 80.19
_cell_angle_beta 80.19
_cell_angle_gamma 90.00
_symmetry_space_group_name_H-M 'P 1'
_symmetry_Int_Tables_number 1
loop_
_symmetry_equiv_pos_as_xyz
'x,y,z'
loop_
_atom_site_label
_atom_site_fract_x
_atom_site_fract_y
_atom_site_fract_z
_atom_site_occupancy
Pb1 0.6212 0.1250 0.2500 1
Pb2 0.1288 0.6250 0.2500 1
Pb3 0.3750 0.3788 0.7500 1
Pb4 0.8750 0.8712 0.7500 1
Sc1 0.5000 0.5000 0.0000 1
Sc2 0.2500 0.7500 0.5000 1
Te1 0.0000 0.0000 0.0000 1
Te2 0.7500 0.2500 0.5000 1
```

Crystalline SrLiCo2 at its relaxed geometry, computed with GGA-PBE.

Properties
ΔE to the lowest computed polymorph, kJ/mol of formula units: 76
Density of states at the Fermi level, states/eV/f.u.: 3.7
Size of the total moment, μB per cell: 3.415
Uncorrected energy, eV/atom: -4.064
Space group: P4mm, No. 99

CIF file:
```
data_SrLiCo2
_cell_length_a 3.1975
_cell_length_b 3.1975
_cell_length_c 7.6414
_cell_angle_alpha 90.00
_cell_angle_beta 90.00
_cell_angle_gamma 90.00
_symmetry_space_group_name_H-M 'P 1'
_symmetry_Int_Tables_number 1
loop_
_symmetry_equiv_pos_as_xyz
'x,y,z'
loop_
_atom_site_label
_atom_site_fract_x
_atom_site_fract_y
_atom_site_fract_z
_atom_site_occupancy
Co1 0.0000 0.0000 0.0911 1
Co2 0.5000 0.5000 0.1968 1
Li1 0.0000 0.0000 0.4160 1
Sr1 0.5000 0.5000 0.7960 1
```

Crystalline Ta2HgSe at its relaxed geometry, computed with GGA-PBE.

Properties
ΔE to the lowest computed polymorph, kJ/mol of formula units: 42
Density of states at the Fermi level, states/eV/f.u.: 1.3
Size of the total moment, μB per cell: 0.000
Uncorrected energy, eV/atom: -6.790
Space group: P4/mmm, No. 123
Energy relative to the elements, uncorrected, eV/atom: 0.08

CIF file:
```
data_Ta2HgSe
_cell_length_a 3.1251
_cell_length_b 3.1251
_cell_length_c 7.3654
_cell_angle_alpha 90.00
_cell_angle_beta 90.00
_cell_angle_gamma 90.00
_symmetry_space_group_name_H-M 'P 1'
_symmetry_Int_Tables_number 1
loop_
_symmetry_equiv_pos_as_xyz
'x,y,z'
loop_
_atom_site_label
_atom_site_fract_x
_atom_site_fract_y
_atom_site_fract_z
_atom_site_occupancy
Hg1 0.5000 0.5000 0.2500 1
Se1 0.5000 0.5000 0.7500 1
Ta1 0.0000 0.0000 0.9683 1
Ta2 0.0000 0.0000 0.5317 1
```

Crystalline AcSm2ErSb4 at its relaxed geometry, computed with GGA-PBE.

Properties
Density of states at the Fermi level, states/eV/f.u.: 0.9
Size of the total moment, μB per cell: 0.000
Uncorrected energy, eV/atom: -5.455
Space group: P2/m, No. 10
Energy relative to the elements, uncorrected, eV/atom: -1.13

CIF file:
```
data_AcSm2ErSb4
_cell_length_a 4.5336
_cell_length_b 7.8523
_cell_length_c 7.8410
_cell_angle_alpha 70.59
_cell_angle_beta 90.00
_cell_angle_gamma 90.00
_symmetry_space_group_name_H-M 'P 1'
_symmetry_Int_Tables_number 1
loop_
_symmetry_equiv_pos_as_xyz
'x,y,z'
loop_
_atom_site_label
_atom_site_fract_x
_atom_site_fract_y
_atom_site_fract_z
_atom_site_occupancy
Ac1 0.5000 0.5000 0.0000 1
Sm1 0.0000 0.0000 0.0000 1
Sm2 0.5000 0.0000 0.5000 1
Er1 0.0000 0.5000 0.5000 1
Sb1 0.0000 0.7593 0.7352 1
Sb2 0.0000 0.2407 0.2648 1
Sb3 0.5000 0.7506 0.2610 1
Sb4 0.5000 0.2494 0.7390 1
```

Crystalline BN3Cl at its relaxed geometry, computed with GGA-PBE.

Properties
Density of states at the Fermi level, states/eV/f.u.: 3.8
Size of the total moment, μB per cell: 0.000
Uncorrected energy, eV/atom: -3.050
Space group: Pm-3m, No. 221
Energy relative to the elements, uncorrected, eV/atom: 3.65

CIF file:
```
data_BN3Cl
_cell_length_a 3.6471
_cell_length_b 3.6471
_cell_length_c 3.6471
_cell_angle_alpha 90.00
_cell_angle_beta 90.00
_cell_angle_gamma 90.00
_symmetry_space_group_name_H-M 'P 1'
_symmetry_Int_Tables_number 1
loop_
_symmetry_equiv_pos_as_xyz
'x,y,z'
loop_
_atom_site_label
_atom_site_fract_x
_atom_site_fract_y
_atom_site_fract_z
_atom_site_occupancy
B1 0.5000 0.5000 0.5000 1
N1 0.0000 0.5000 0.0000 1
N2 0.0000 0.0000 0.5000 1
N3 0.5000 0.0000 0.0000 1
Cl1 0.0000 0.0000 0.0000 1
```

Repeat the first record exactly.
Crystalline YHoAgPt at its relaxed geometry, computed with GGA-PBE.

Properties
Density of states at the Fermi level, states/eV/f.u.: 2.9
Size of the total moment, μB per cell: 0.000
Uncorrected energy, eV/atom: -5.774
Space group: F-43m, No. 216

CIF file:
```
data_YHoAgPt
_cell_length_a 5.0169
_cell_length_b 5.0169
_cell_length_c 5.0169
_cell_angle_alpha 60.00
_cell_angle_beta 60.00
_cell_angle_gamma 60.00
_symmetry_space_group_name_H-M 'P 1'
_symmetry_Int_Tables_number 1
loop_
_symmetry_equiv_pos_as_xyz
'x,y,z'
loop_
_atom_site_label
_atom_site_fract_x
_atom_site_fract_y
_atom_site_fract_z
_atom_site_occupancy
Y1 0.5000 0.5000 0.5000 1
Ag1 0.2500 0.2500 0.2500 1
Ho1 0.0000 0.0000 0.0000 1
Pt1 0.7500 0.7500 0.7500 1
```